First-principles (GGA-PBE) data for an optimized crystal structure of Mg2TeCl, as listed in Alexandria.

```
data_Mg2TeCl
_symmetry_space_group_name_H-M 'P 1'
_symmetry_Int_Tables_number 1
_symmetry_space_group_name_Hall 'P 1'
_cell_length_a 3.7012
_cell_length_b 5.0318
_cell_length_c 5.0318
_cell_angle_alpha 90.00
_cell_angle_beta 90.00
_cell_angle_gamma 90.00
loop_
_atom_site_label
_atom_site_fract_x
_atom_site_fract_y
_atom_site_fract_z
Mg1 0.0000 0.0000 0.0000
Mg2 0.0000 0.5000 0.5000
Cl1 0.5000 0.0000 0.5000
Te1 0.5000 0.5000 0.0000
```

Properties
Raw formation energy = -238 kJ/mol of formula units
DOS(E_F) = 0.370 states/eV per atom
Distance to the lowest polymorph of the same formula = 0.84 eV per formula unit
Total magnetization = 0.00 Bohr magnetons per cell
Space group = P4/mmm, No. 123

---

First-principles (GGA-PBE) data for an optimized crystal structure of Mg2TeCl, as listed in Alexandria.

```
data_Mg2TeCl
_symmetry_space_group_name_H-M 'P 1'
_symmetry_Int_Tables_number 1
_symmetry_space_group_name_Hall 'P 1'
_cell_length_a 3.3411
_cell_length_b 3.3411
_cell_length_c 10.1664
_cell_angle_alpha 90.00
_cell_angle_beta 90.00
_cell_angle_gamma 105.44
loop_
_atom_site_label
_atom_site_fract_x
_atom_site_fract_y
_atom_site_fract_z
Cl1 0.5000 0.5000 0.8458
Mg1 0.5000 0.5000 0.2284
Mg2 0.0000 0.0000 0.9872
Te1 0.0000 0.0000 0.4385
```

Properties
Raw formation energy = -236 kJ/mol of formula units
DOS(E_F) = 0.518 states/eV per atom
Distance to the lowest polymorph of the same formula = 0.86 eV per formula unit
Total magnetization = 0.00 Bohr magnetons per cell
Space group = Cmm2, No. 35

---

First-principles (GGA-PBE) data for an optimized crystal structure of MgTe3Cl, as listed in Alexandria.

```
data_MgTe3Cl
_symmetry_space_group_name_H-M 'P 1'
_symmetry_Int_Tables_number 1
_symmetry_space_group_name_Hall 'P 1'
_cell_length_a 5.4070
_cell_length_b 5.4070
_cell_length_c 5.4070
_cell_angle_alpha 90.00
_cell_angle_beta 90.00
_cell_angle_gamma 90.00
loop_
_atom_site_label
_atom_site_fract_x
_atom_site_fract_y
_atom_site_fract_z
Te1 0.0000 0.0000 0.5000
Te2 0.0000 0.5000 0.0000
Te3 0.5000 0.0000 0.0000
Mg1 0.5000 0.5000 0.5000
Cl1 0.0000 0.0000 0.0000
```

Properties
Raw formation energy = 233 kJ/mol of formula units
DOS(E_F) = 0.977 states/eV per atom
Distance to the lowest polymorph of the same formula = 1.34 eV per formula unit
Total magnetization = 0.00 Bohr magnetons per cell
Space group = Pm-3m, No. 221

---

First-principles (GGA-PBE) data for an optimized crystal structure of Mg3TeCl, as listed in Alexandria.

```
data_Mg3TeCl
_symmetry_space_group_name_H-M 'P 1'
_symmetry_Int_Tables_number 1
_symmetry_space_group_name_Hall 'P 1'
_cell_length_a 5.1707
_cell_length_b 5.1707
_cell_length_c 5.1707
_cell_angle_alpha 90.00
_cell_angle_beta 90.00
_cell_angle_gamma 90.00
loop_
_atom_site_label
_atom_site_fract_x
_atom_site_fract_y
_atom_site_fract_z
Te1 0.5000 0.5000 0.5000
Mg1 0.5000 0.0000 0.0000
Mg2 0.0000 0.5000 0.0000
Mg3 0.0000 0.0000 0.5000
Cl1 0.0000 0.0000 0.0000
```

Properties
Raw formation energy = -38 kJ/mol of formula units
DOS(E_F) = 0.569 states/eV per atom
Distance to the lowest polymorph of the same formula = 0.00 eV per formula unit
Total magnetization = 0.00 Bohr magnetons per cell
Space group = Pm-3m, No. 221

---

First-principles (GGA-PBE) data for an optimized crystal structure of Mg2TeCl, as listed in Alexandria.

```
data_Mg2TeCl
_symmetry_space_group_name_H-M 'P 1'
_symmetry_Int_Tables_number 1
_symmetry_space_group_name_Hall 'P 1'
_cell_length_a 5.1799
_cell_length_b 5.1799
_cell_length_c 5.1799
_cell_angle_alpha 60.00
_cell_angle_beta 60.00
_cell_angle_gamma 60.00
loop_
_atom_site_label
_atom_site_fract_x
_atom_site_fract_y
_atom_site_fract_z
Cl1 0.5000 0.5000 0.5000
Te1 0.7500 0.7500 0.7500
Mg1 0.2500 0.2500 0.2500
Mg2 0.0000 0.0000 0.0000
```

Properties
Raw formation energy = -94 kJ/mol of formula units
DOS(E_F) = 0.610 states/eV per atom
Distance to the lowest polymorph of the same formula = 2.34 eV per formula unit
Total magnetization = 0.00 Bohr magnetons per cell
Space group = F-43m, No. 216

---

First-principles (GGA-PBE) data for an optimized crystal structure of MgTeCl4, as listed in Alexandria.

```
data_MgTeCl4
_symmetry_space_group_name_H-M 'P 1'
_symmetry_Int_Tables_number 1
_symmetry_space_group_name_Hall 'P 1'
_cell_length_a 5.9979
_cell_length_b 5.9979
_cell_length_c 5.9979
_cell_angle_alpha 60.00
_cell_angle_beta 60.00
_cell_angle_gamma 60.00
loop_
_atom_site_label
_atom_site_fract_x
_atom_site_fract_y
_atom_site_fract_z
Cl1 0.3763 0.8711 0.3763
Cl2 0.3763 0.3763 0.3763
Cl3 0.8711 0.3763 0.3763
Cl4 0.3763 0.3763 0.8711
Te1 0.0000 0.0000 0.0000
Mg1 0.7500 0.7500 0.7500
```

Properties
Raw formation energy = 185 kJ/mol of formula units
DOS(E_F) = 0.786 states/eV per atom
Total magnetization = 4.10 Bohr magnetons per cell
Space group = F-43m, No. 216

---

First-principles (GGA-PBE) data for an optimized crystal structure of Mg2TeCl, as listed in Alexandria.

```
data_Mg2TeCl
_symmetry_space_group_name_H-M 'P 1'
_symmetry_Int_Tables_number 1
_symmetry_space_group_name_Hall 'P 1'
_cell_length_a 5.8361
_cell_length_b 4.2315
_cell_length_c 5.9885
_cell_angle_alpha 45.30
_cell_angle_beta 90.00
_cell_angle_gamma 90.00
loop_
_atom_site_label
_atom_site_fract_x
_atom_site_fract_y
_atom_site_fract_z
Te1 0.0000 0.8487 0.3762
Cl1 0.5000 0.8312 0.8756
Mg1 0.0000 0.8537 0.8761
Mg2 0.5000 0.9663 0.3720
```

Properties
Raw formation energy = -314 kJ/mol of formula units
DOS(E_F) = 0.358 states/eV per atom
Distance to the lowest polymorph of the same formula = 0.05 eV per formula unit
Total magnetization = 0.00 Bohr magnetons per cell
Space group = Pm, No. 6

---

First-principles (GGA-PBE) data for an optimized crystal structure of Mg2TeCl, as listed in Alexandria.

```
data_Mg2TeCl
_symmetry_space_group_name_H-M 'P 1'
_symmetry_Int_Tables_number 1
_symmetry_space_group_name_Hall 'P 1'
_cell_length_a 7.3165
_cell_length_b 7.3165
_cell_length_c 4.2168
_cell_angle_alpha 73.15
_cell_angle_beta 73.15
_cell_angle_gamma 32.03
loop_
_atom_site_label
_atom_site_fract_x
_atom_site_fract_y
_atom_site_fract_z
Cl1 0.1975 0.1975 0.9270
Te1 0.4772 0.4772 0.6500
Mg1 0.8177 0.8177 0.8037
Mg2 0.0076 0.0076 0.1193
```

Properties
Raw formation energy = -319 kJ/mol of formula units
DOS(E_F) = 0.378 states/eV per atom
Distance to the lowest polymorph of the same formula = 0.00 eV per formula unit
Total magnetization = 0.14 Bohr magnetons per cell
Space group = Cm, No. 8

---

First-principles (GGA-PBE) data for an optimized crystal structure of MgTe2WCl, as listed in Alexandria.

```
data_MgTe2WCl
_symmetry_space_group_name_H-M 'P 1'
_symmetry_Int_Tables_number 1
_symmetry_space_group_name_Hall 'P 1'
_cell_length_a 5.1360
_cell_length_b 5.5856
_cell_length_c 5.1360
_cell_angle_alpha 90.00
_cell_angle_beta 90.00
_cell_angle_gamma 90.00
loop_
_atom_site_label
_atom_site_fract_x
_atom_site_fract_y
_atom_site_fract_z
Te1 0.5000 0.0000 0.0000
Te2 0.0000 0.0000 0.5000
Mg1 0.0000 0.5000 0.0000
Cl1 0.5000 0.5000 0.5000
W1 0.0000 0.0000 0.0000
```

Properties
Raw formation energy = 91 kJ/mol of formula units
DOS(E_F) = 0.454 states/eV per atom
Total magnetization = 0.00 Bohr magnetons per cell
Space group = P4/mmm, No. 123

---

First-principles (GGA-PBE) data for an optimized crystal structure of ThMgCl, as listed in Alexandria.

```
data_ThMgCl
_symmetry_space_group_name_H-M 'P 1'
_symmetry_Int_Tables_number 1
_symmetry_space_group_name_Hall 'P 1'
_cell_length_a 3.4352
_cell_length_b 3.4362
_cell_length_c 17.8805
_cell_angle_alpha 90.00
_cell_angle_beta 90.00
_cell_angle_gamma 119.99
loop_
_atom_site_label
_atom_site_fract_x
_atom_site_fract_y
_atom_site_fract_z
Mg1 0.3526 0.7052 0.5000
Mg2 0.5361 0.0722 0.0000
Cl1 0.2028 0.4057 0.9127
Cl2 0.2028 0.4057 0.0873
Th1 0.6861 0.3722 0.3416
Th2 0.6861 0.3722 0.6584
```

Properties
Raw formation energy = -159 kJ/mol of formula units
DOS(E_F) = 0.863 states/eV per atom
Total magnetization = 0.00 Bohr magnetons per cell
Space group = Amm2, No. 38

---

First-principles (GGA-PBE) data for an optimized crystal structure of MgTiCl3, as listed in Alexandria.

```
data_MgTiCl3
_symmetry_space_group_name_H-M 'P 1'
_symmetry_Int_Tables_number 1
_symmetry_space_group_name_Hall 'P 1'
_cell_length_a 4.9049
_cell_length_b 4.9049
_cell_length_c 4.9049
_cell_angle_alpha 90.00
_cell_angle_beta 90.00
_cell_angle_gamma 90.00
loop_
_atom_site_label
_atom_site_fract_x
_atom_site_fract_y
_atom_site_fract_z
Cl1 0.0000 0.0000 0.5000
Cl2 0.0000 0.5000 0.0000
Cl3 0.5000 0.0000 0.0000
Mg1 0.0000 0.0000 0.0000
Ti1 0.5000 0.5000 0.5000
```

Properties
Raw formation energy = -365 kJ/mol of formula units
DOS(E_F) = 1.297 states/eV per atom
Distance to the lowest polymorph of the same formula = 0.96 eV per formula unit
Total magnetization = 3.00 Bohr magnetons per cell
Space group = Pm-3m, No. 221

---

First-principles (GGA-PBE) data for an optimized crystal structure of MgTiCl4, as listed in Alexandria.

```
data_MgTiCl4
_symmetry_space_group_name_H-M 'P 1'
_symmetry_Int_Tables_number 1
_symmetry_space_group_name_Hall 'P 1'
_cell_length_a 3.5882
_cell_length_b 7.2320
_cell_length_c 6.4403
_cell_angle_alpha 108.82
_cell_angle_beta 90.00
_cell_angle_gamma 104.36
loop_
_atom_site_label
_atom_site_fract_x
_atom_site_fract_y
_atom_site_fract_z
Cl1 0.8934 0.7869 0.5931
Cl2 0.3954 0.7908 0.0904
Cl3 0.6046 0.2092 0.9096
Cl4 0.1066 0.2131 0.4069
Mg1 0.0000 0.0000 0.0000
Ti1 0.5000 0.0000 0.5000
```

Properties
Raw formation energy = -929 kJ/mol of formula units
DOS(E_F) = 0.700 states/eV per atom
Total magnetization = 2.00 Bohr magnetons per cell
Space group = C2/m, No. 12